{
  "formula": "Tl8GaHg2",
  "functional": "GGA-PBE",
  "state": "relaxed",
  "lattice_angstrom": [[4.4109, -7.3896, 0.0000], [4.4109, 7.3896, 0.0000], [-2.8001, 0.0000, 5.1251]],
  "species": ["Tl", "Tl", "Tl", "Tl", "Tl", "Tl", "Tl", "Tl", "Ga", "Hg", "Hg"],
  "fractional_positions": [[0.0988, 0.3259, 0.6151], [0.2101, 0.7899, 0.0000], [0.3259, 0.0988, 0.6151], [0.3800, 0.3800, 0.1798], [0.6200, 0.6200, 0.8202], [0.6741, 0.9012, 0.3849], [0.7899, 0.2101, 0.0000], [0.9012, 0.6741, 0.3849], [0.0000, 0.0000, 0.0000], [0.3063, 0.6937, 0.5000], [0.6937, 0.3063, 0.5000]],
  "dft_energy_ev_per_cell": -21.88,
  "magnetic_moment_mub_per_cell": 0.00,
  "delta_e_f_ev_per_atom": 0.062,
  "de_polymorph_mev_per_atom": 0,
  "spacegroup": "C2/m"
}